Here is a relaxed structure of BaLi4Pt2 from Alexandria via LeMat-Bulk. Energies are from PBE-GGA.

```
BaLi4Pt2
1.0
8.044 0.000 0.000
0.000 8.044 0.000
0.000 0.000 4.269
Ba Li Pt
2 8 4
Direct
0.000 0.000 0.000
0.500 0.500 0.500
0.094 0.347 0.500
0.153 0.594 0.000
0.347 0.094 0.500
0.406 0.847 0.000
0.594 0.153 0.000
0.653 0.906 0.500
0.847 0.406 0.000
0.906 0.653 0.500
0.219 0.781 0.500
0.281 0.281 0.000
0.719 0.719 0.000
0.781 0.219 0.500
```

Computed properties:
crystal system	tetragonal
calculated density	6.675	g cm⁻³
formation energy from the elements	-45.9	kJ per mole of atoms
space group	P4_2/mnm, No. 136
V	276.3	Å³/cell